[1]
# Sm2GaSi3 PBE optimized geometry
data_Sm2GaSi3
_cell_length_a 4.1565
_cell_length_b 4.2618
_cell_length_c 13.9094
_cell_angle_alpha 90.00
_cell_angle_beta 90.00
_cell_angle_gamma 90.00
_symmetry_space_group_name_H-M 'I m m 2'
_symmetry_Int_Tables_number 44
_symmetry_space_group_name_Hall 'I 2 -2'
loop_
_atom_site_label
_atom_site_type_symbol
_atom_site_fract_x
_atom_site_fract_y
_atom_site_fract_z
Sm1 Sm 0.0000 0.0000 0.0000
Sm2 Sm 0.0000 0.5000 0.2421
Ga1 Ga 0.0000 0.0000 0.4131
Si1 Si 0.0000 0.0000 0.5840
Si2 Si 0.0000 0.5000 0.6593
Si3 Si 0.0000 0.5000 0.8263
# Distance to the lowest polymorph of the same formula in kJ/mol of atoms: 0.0
# E in eV/atom: -5.429
# Energy relative to the elements, uncorrected in eV per atom: -0.640

[2]
# Rb12Au3I5 PBE optimized geometry
data_Rb12Au3I5
_cell_length_a 21.4322
_cell_length_b 21.4322
_cell_length_c 21.4322
_cell_angle_alpha 90.00
_cell_angle_beta 90.00
_cell_angle_gamma 90.00
_symmetry_space_group_name_H-M 'I a -3 d'
_symmetry_Int_Tables_number 230
_symmetry_space_group_name_Hall '-I 4bd 2c 3'
loop_
_atom_site_label
_atom_site_type_symbol
_atom_site_fract_x
_atom_site_fract_y
_atom_site_fract_z
Rb1 Rb 0.0162 0.0765 0.6527
Au1 Au 0.0000 0.2500 0.1250
I1 I 0.0000 0.0000 0.0000
I2 I 0.0000 0.2500 0.3750
# E in eV/atom: -2.168
# Energy relative to the elements, uncorrected in eV per atom: -0.708

[3]
# Rb2MgBC PBE optimized geometry
data_Rb2MgBC
_cell_length_a 6.8141
_cell_length_b 6.8141
_cell_length_c 2.9734
_cell_angle_alpha 90.00
_cell_angle_beta 90.00
_cell_angle_gamma 90.00
_symmetry_space_group_name_H-M 'P 4/m m m'
_symmetry_Int_Tables_number 123
_symmetry_space_group_name_Hall '-P 4 2'
loop_
_atom_site_label
_atom_site_type_symbol
_atom_site_fract_x
_atom_site_fract_y
_atom_site_fract_z
Rb1 Rb 0.0000 0.5000 0.0000
Mg1 Mg 0.0000 0.0000 0.5000
B1 B 0.5000 0.5000 0.0000
C1 C 0.5000 0.5000 0.5000
# E in eV/atom: -3.423
# ΔH_f (0 K) in meV per atom: 463.2

[4]
# Ho3MgGa7 PBE optimized geometry
data_Ho3MgGa7
_cell_length_a 4.0926
_cell_length_b 19.3110
_cell_length_c 11.8572
_cell_angle_alpha 90.00
_cell_angle_beta 90.00
_cell_angle_gamma 90.00
_symmetry_space_group_name_H-M 'C m c m'
_symmetry_Int_Tables_number 63
_symmetry_space_group_name_Hall '-C 2c 2'
loop_
_atom_site_label
_atom_site_type_symbol
_atom_site_fract_x
_atom_site_fract_y
_atom_site_fract_z
Ho1 Ho 0.0000 0.1062 0.0414
Ho2 Ho 0.0000 0.2427 0.7500
Mg1 Mg 0.0000 0.0434 0.7500
Ga1 Ga 0.0000 0.2591 0.0550
Ga2 Ga 0.0000 0.3700 0.1470
Ga3 Ga 0.0000 0.4021 0.7500
Ga4 Ga 0.0000 0.4957 0.1024
# E in eV/atom: -3.763
# ΔH_f (0 K) in meV per atom: -443.7

[5]
# Co3Ni2S8 PBE optimized geometry
data_Co3Ni2S8
_cell_length_a 6.6245
_cell_length_b 6.6245
_cell_length_c 10.3558
_cell_angle_alpha 90.00
_cell_angle_beta 90.00
_cell_angle_gamma 120.00
_symmetry_space_group_name_H-M 'P 63 m c'
_symmetry_Int_Tables_number 186
_symmetry_space_group_name_Hall 'P 6c -2c'
loop_
_atom_site_label
_atom_site_type_symbol
_atom_site_fract_x
_atom_site_fract_y
_atom_site_fract_z
Co1 Co 0.1657 0.3315 0.0000
Ni1 Ni 0.3333 0.6667 0.2894
Ni2 Ni 0.3333 0.6667 0.6875
S1 S 0.0000 0.0000 0.1140
S2 S 0.0277 0.5138 0.1290
S3 S 0.1561 0.3122 0.3822
S4 S 0.3333 0.6667 0.8942
# E in eV/atom: -5.393
# Energy relative to the elements, uncorrected in eV per atom: -0.324

[6]
# BiP PBE optimized geometry
data_BiP
_cell_length_a 4.9065
_cell_length_b 4.9065
_cell_length_c 6.1768
_cell_angle_alpha 90.00
_cell_angle_beta 90.00
_cell_angle_gamma 120.00
_symmetry_space_group_name_H-M 'P 63 m c'
_symmetry_Int_Tables_number 186
_symmetry_space_group_name_Hall 'P 6c -2c'
loop_
_atom_site_label
_atom_site_type_symbol
_atom_site_fract_x
_atom_site_fract_y
_atom_site_fract_z
Bi1 Bi 0.3333 0.6667 0.0000
P1 P 0.3333 0.6667 0.5609
# Distance to the lowest polymorph of the same formula in kJ/mol of atoms: 14.3
# E in eV/atom: -4.430
# ΔH_f (0 K) in meV per atom: 214.9

[7]
# SmCu2Te2 PBE optimized geometry
data_SmCu2Te2
_cell_length_a 9.0241
_cell_length_b 11.2018
_cell_length_c 6.4540
_cell_angle_alpha 90.00
_cell_angle_beta 133.65
_cell_angle_gamma 90.00
_symmetry_space_group_name_H-M 'C 1 2/c 1'
_symmetry_Int_Tables_number 15
_symmetry_space_group_name_Hall '-C 2yc'
loop_
_atom_site_label
_atom_site_type_symbol
_atom_site_fract_x
_atom_site_fract_y
_atom_site_fract_z
Sm1 Sm 0.0000 0.1089 0.2500
Cu1 Cu 0.1639 0.4075 0.7844
Te1 Te 0.0000 0.1783 0.7500
Te2 Te 0.0000 0.3900 0.2500
# E in eV/atom: -4.305
# Energy relative to the elements, uncorrected in eV per atom: -0.466

[8]
# SmUV PBE optimized geometry
data_SmUV
_cell_length_a 13.1119
_cell_length_b 3.1987
_cell_length_c 8.1554
_cell_angle_alpha 90.00
_cell_angle_beta 126.42
_cell_angle_gamma 90.00
_symmetry_space_group_name_H-M 'C 1 2/m 1'
_symmetry_Int_Tables_number 12
_symmetry_space_group_name_Hall '-C 2y'
loop_
_atom_site_label
_atom_site_type_symbol
_atom_site_fract_x
_atom_site_fract_y
_atom_site_fract_z
Sm1 Sm 0.1020 0.0000 0.2713
U1 U 0.1190 0.5000 0.6760
V1 V 0.1672 0.5000 0.9924
# E in eV/atom: -7.984
# ΔH_f (0 K) in meV per atom: 391.0

[9]
# YHoOs PBE optimized geometry
data_YHoOs
_cell_length_a 5.4228
_cell_length_b 5.4228
_cell_length_c 8.0178
_cell_angle_alpha 90.00
_cell_angle_beta 90.00
_cell_angle_gamma 120.00
_symmetry_space_group_name_H-M 'P 32 1 2'
_symmetry_Int_Tables_number 153
_symmetry_space_group_name_Hall 'P 32 2 (0 0 2)'
loop_
_atom_site_label
_atom_site_type_symbol
_atom_site_fract_x
_atom_site_fract_y
_atom_site_fract_z
Y1 Y 0.1787 0.3574 0.3333
Ho1 Ho 0.3621 0.1811 0.0000
Os1 Os 0.5012 0.0025 0.3333
# Distance to the lowest polymorph of the same formula in kJ/mol of atoms: 33.7
# E in eV/atom: -7.305
# ΔH_f (0 K) in meV per atom: 118.4

[10]
# NiSn4Rh2 PBE optimized geometry
data_NiSn4Rh2
_cell_length_a 13.4106
_cell_length_b 3.6052
_cell_length_c 6.5330
_cell_angle_alpha 90.00
_cell_angle_beta 117.81
_cell_angle_gamma 90.00
_symmetry_space_group_name_H-M 'C 1 2/m 1'
_symmetry_Int_Tables_number 12
_symmetry_space_group_name_Hall '-C 2y'
loop_
_atom_site_label
_atom_site_type_symbol
_atom_site_fract_x
_atom_site_fract_y
_atom_site_fract_z
Ni1 Ni 0.0000 0.0000 0.0000
Sn1 Sn 0.0979 0.0000 0.4557
Sn2 Sn 0.1352 0.5000 0.9549
Rh1 Rh 0.2469 0.0000 0.2937
# E in eV/atom: -5.534
# ΔH_f (0 K) in meV per atom: -319.9

[11]
# La3PmSb3 PBE optimized geometry
data_La3PmSb3
_cell_length_a 9.8149
_cell_length_b 9.8149
_cell_length_c 6.4290
_cell_angle_alpha 90.00
_cell_angle_beta 90.00
_cell_angle_gamma 120.00
_symmetry_space_group_name_H-M 'P 63/m'
_symmetry_Int_Tables_number 176
_symmetry_space_group_name_Hall '-P 6c'
loop_
_atom_site_label
_atom_site_type_symbol
_atom_site_fract_x
_atom_site_fract_y
_atom_site_fract_z
La1 La 0.0606 0.3722 0.2500
Pm1 Pm 0.3333 0.6667 0.7500
Sb1 Sb 0.0387 0.3427 0.7500
# Distance to the lowest polymorph of the same formula in kJ/mol of atoms: 24.1
# E in eV/atom: -5.424
# Energy relative to the elements, uncorrected in eV per atom: -0.867

[12]
# CaDyMgRh PBE optimized geometry
data_CaDyMgRh
_cell_length_a 7.1887
_cell_length_b 7.1887
_cell_length_c 7.1887
_cell_angle_alpha 90.00
_cell_angle_beta 90.00
_cell_angle_gamma 90.00
_symmetry_space_group_name_H-M 'F -4 3 m'
_symmetry_Int_Tables_number 216
_symmetry_space_group_name_Hall 'F -4 2 3'
loop_
_atom_site_label
_atom_site_type_symbol
_atom_site_fract_x
_atom_site_fract_y
_atom_site_fract_z
Ca1 Ca 0.0000 0.0000 0.0000
Dy1 Dy 0.0000 0.0000 0.5000
Mg1 Mg 0.2500 0.2500 0.2500
Rh1 Rh 0.2500 0.2500 0.7500
# E in eV/atom: -4.155
# ΔH_f (0 K) in meV per atom: -268.0

What is the formula in the ninth record?
YHoOs

Which value of E does entry 11 give?
-5.424 eV/atom

Among the records above, which one has the lowest E?
SmUV